# 1
Crystalline Pr4MgZn2Ga at its relaxed geometry, computed with PBE.

It has space group R-3m (No. 166, hexagonal axes), with a = 5.3108 Å, b = 5.3108 Å, c = 26.1527 Å, α = 90.00°, β = 90.00° and γ = 120.00°. Symmetry generates all atoms from Pr at (0.0000, 0.0000, 0.1201), Pr at (0.0000, 0.0000, 0.3708), Mg at (0.0000, 0.0000, 0.5000), Zn at (0.0000, 0.0000, 0.2423) and Ga at (0.0000, 0.0000, 0.0000).

The formation enthalpy at 0 K comes out at -0.309 eV per atom. The mass density is 6.15 g cm⁻³. Its calculated volume is 638.8 Å³ per cell. The calculation puts the raw total energy at -86.27 eV/cell. As for the density of states at the Fermi level: 1.143 states/eV/atom.

# 2
Crystalline Nd5Al2Pb at its relaxed geometry, computed with PBE.

It has space group I4/mcm (No. 140), with a = 8.170 Å, b = 8.170 Å, c = 14.576 Å, α = 90.00°, β = 90.00° and γ = 90.00°. Symmetry generates all atoms from Nd at (0.000, 0.000, 0.000), Nd at (0.170, 0.330, 0.147), Al at (0.119, 0.381, 0.500) and Pb at (0.000, 0.000, 0.250).

The formation enthalpy at 0 K comes out at -0.359 eV per atom. The mass density is 6.71 g cm⁻³. Its calculated volume is 972.9 Å³ per cell. The calculation puts the raw total energy at -151.62 eV/cell. As for the density of states at the Fermi level: 1.163 states/eV/atom.

# 3
Crystalline RbDy2CuO4 at its relaxed geometry, computed with PBE.

It has space group Cmcm (No. 63), with a = 3.489 Å, b = 11.835 Å, c = 11.869 Å, α = 90.00°, β = 90.00° and γ = 90.00°. Symmetry generates all atoms from Rb at (0.000, 0.100, 0.250), Dy at (0.000, 0.367, 0.060), Cu at (0.000, 0.175, 0.750), O at (0.000, 0.000, 0.000), O at (0.000, 0.252, 0.595) and O at (0.000, 0.416, 0.250).

The calculation puts the uncorrected formation energy at -2.4551 eV/atom. The mass density is 7.29 g cm⁻³. Its calculated volume is 490.1 Å³ per cell. The calculation puts the raw total energy at -214.97 eV/cell.

# 4
Crystalline Cd2TeRu at its relaxed geometry, computed with PBE.

It has space group F-43m (No. 216), with a = 6.879 Å, b = 6.879 Å, c = 6.879 Å, α = 90.00°, β = 90.00° and γ = 90.00°. Symmetry generates all atoms from Cd at (0.000, 0.000, 0.000), Cd at (0.250, 0.250, 0.250), Te at (0.250, 0.250, 0.750) and Ru at (0.000, 0.000, 0.500).

The calculation puts the uncorrected formation energy at 0.4257 eV/atom. The mass density is 9.25 g cm⁻³. Its calculated volume is 325.6 Å³ per cell. The calculation puts the raw total energy at -50.18 eV/cell. As for the density of states at the Fermi level: 0.665 states/eV/atom. As for the energy above the most stable polymorph in this dataset: 380 meV per atom.

# 5
Crystalline LiZrIO6 at its relaxed geometry, computed with PBE.

It has space group P4_2nm (No. 102), with a = 4.847 Å, b = 4.847 Å, c = 9.305 Å, α = 90.00°, β = 90.00° and γ = 90.00°. Symmetry generates all atoms from Li at (0.000, 0.000, 0.000), Zr at (0.000, 0.000, 0.671), I at (0.000, 0.000, 0.328), O at (0.183, 0.183, 0.481), O at (0.189, 0.189, 0.180) and O at (0.222, 0.222, 0.822).

The calculation puts the uncorrected formation energy at -1.5882 eV/atom. The mass density is 4.88 g cm⁻³. Its calculated volume is 218.6 Å³ per cell. The calculation puts the raw total energy at -112.11 eV/cell. As for the density of states at the Fermi level: 0.000 states/eV/atom.

# 6
Crystalline Rb4Th3Te8Au at its relaxed geometry, computed with PBE.

It has space group C2/m (No. 12), with a = 16.104 Å, b = 9.160 Å, c = 10.056 Å, α = 90.00°, β = 122.27° and γ = 90.00°. Symmetry generates all atoms from Rb at (0.000, 0.000, 0.000), Rb at (0.000, 0.500, 0.000), Rb at (0.250, 0.250, 0.000), Th at (0.000, 0.000, 0.500), Th at (0.250, 0.250, 0.500), Te at (0.018, 0.254, 0.306), Te at (0.236, 0.000, 0.710), Te at (0.238, 0.500, 0.702) and Au at (0.000, 0.500, 0.500).

The calculation puts the uncorrected formation energy at -1.0253 eV/atom. The mass density is 5.97 g cm⁻³. Its calculated volume is 1254.3 Å³ per cell. The calculation puts the raw total energy at -141.89 eV/cell. As for the density of states at the Fermi level: 0.387 states/eV/atom.

# 7
Crystalline Tb2YCd6 at its relaxed geometry, computed with PBE.

It has space group P6/mmm (No. 191), with a = 8.6239 Å, b = 8.6239 Å, c = 3.4470 Å, α = 90.00°, β = 90.00° and γ = 120.00°. Symmetry generates all atoms from Tb at (0.3333, 0.6667, 0.0000), Y at (0.0000, 0.0000, 0.0000) and Cd at (0.0000, 0.3330, 0.5000).

The formation enthalpy at 0 K comes out at -0.327 eV per atom. The mass density is 8.09 g cm⁻³. Its calculated volume is 222.0 Å³ per cell. The calculation puts the raw total energy at -24.16 eV/cell. As for the density of states at the Fermi level: 0.837 states/eV/atom.

# 8
Crystalline RbGaCuTe3 at its relaxed geometry, computed with PBE.

It has space group P2_1/m (No. 11), with a = 9.547 Å, b = 4.062 Å, c = 11.514 Å, α = 90.00°, β = 110.32° and γ = 90.00°. Symmetry generates all atoms from Rb at (0.203, 0.250, 0.222), Ga at (0.096, 0.250, 0.626), Cu at (0.366, 0.750, 0.904), Te at (0.158, 0.250, 0.863), Te at (0.201, 0.750, 0.524) and Te at (0.480, 0.750, 0.153).

The calculation puts the uncorrected formation energy at -0.3289 eV/atom. The mass density is 4.77 g cm⁻³. Its calculated volume is 418.7 Å³ per cell. The calculation puts the raw total energy at -38.98 eV/cell. As for the density of states at the Fermi level: 0.833 states/eV/atom.

# 9
Crystalline CsLa2PbF at its relaxed geometry, computed with PBE.

It has space group P4/mmm (No. 123), with a = 5.318 Å, b = 5.318 Å, c = 5.459 Å, α = 90.00°, β = 90.00° and γ = 90.00°. Symmetry generates all atoms from Cs at (0.000, 0.000, 0.000), La at (0.000, 0.500, 0.500), Pb at (0.500, 0.500, 0.000) and F at (0.000, 0.000, 0.500).

The calculation puts the uncorrected formation energy at -0.9385 eV/atom. The mass density is 6.85 g cm⁻³. Its calculated volume is 154.4 Å³ per cell. The calculation puts the raw total energy at -20.98 eV/cell. As for the density of states at the Fermi level: 0.934 states/eV/atom.

# 10
Crystalline BeSeBr2 at its relaxed geometry, computed with PBE.

It has space group Imm2 (No. 44), with a = 3.295 Å, b = 5.322 Å, c = 14.134 Å, α = 90.00°, β = 90.00° and γ = 90.00°. Symmetry generates all atoms from Be at (0.000, 0.000, 0.000), Se at (0.000, 0.500, 0.375), Br at (0.000, 0.000, 0.399) and Br at (0.000, 0.500, 0.608).

The calculation puts the uncorrected formation energy at -0.2614 eV/atom. The mass density is 3.32 g cm⁻³. Its calculated volume is 247.8 Å³ per cell. The calculation puts the raw total energy at -23.20 eV/cell. As for the density of states at the Fermi level: 0.226 states/eV/atom. As for the energy above the most stable polymorph in this dataset: 181 meV per atom.

# 11
Crystalline PmPr8Ir6 at its relaxed geometry, computed with PBE.

It has space group R-3 (No. 148, hexagonal axes), with a = 8.5669 Å, b = 8.5669 Å, c = 18.8774 Å, α = 90.00°, β = 90.00° and γ = 120.00°. Symmetry generates all atoms from Pm at (0.0000, 0.0000, 0.0000), Pr at (0.0000, 0.0000, 0.3326), Pr at (0.0015, 0.3321, 0.1119) and Ir at (0.0004, 0.3321, 0.9424).

The formation enthalpy at 0 K comes out at -0.553 eV per atom. The mass density is 10.07 g cm⁻³. Its calculated volume is 1199.8 Å³ per cell. The calculation puts the raw total energy at -313.36 eV/cell. As for the density of states at the Fermi level: 0.706 states/eV/atom.

# 12
Crystalline Ba2AuSe at its relaxed geometry, computed with PBE.

It has space group Pmmm (No. 47), with a = 4.747 Å, b = 4.783 Å, c = 6.700 Å, α = 90.00°, β = 90.00° and γ = 90.00°. Symmetry generates all atoms from Ba at (0.000, 0.000, 0.000), Ba at (0.500, 0.500, 0.500), Au at (0.000, 0.000, 0.500) and Se at (0.500, 0.500, 0.000).

The calculation puts the uncorrected formation energy at -1.2843 eV/atom. The mass density is 6.01 g cm⁻³. Its calculated volume is 152.1 Å³ per cell. The calculation puts the raw total energy at -15.74 eV/cell. As for the density of states at the Fermi level: 0.794 states/eV/atom.

# 13
Crystalline KAl2Pt at its relaxed geometry, computed with PBE.

It has space group Imm2 (No. 44), with a = 2.895 Å, b = 4.224 Å, c = 15.821 Å, α = 90.00°, β = 90.00° and γ = 90.00°. Symmetry generates all atoms from K at (0.000, 0.000, 0.000), Al at (0.000, 0.000, 0.662), Al at (0.000, 0.500, 0.805) and Pt at (0.000, 0.500, 0.298).

The formation enthalpy at 0 K comes out at -0.284 eV per atom. The mass density is 4.95 g cm⁻³. Its calculated volume is 193.5 Å³ per cell. The calculation puts the raw total energy at -31.52 eV/cell. As for the density of states at the Fermi level: 0.486 states/eV/atom.

# 14
Crystalline ThAlHg at its relaxed geometry, computed with PBE.

It has space group Cmcm (No. 63), with a = 5.000 Å, b = 14.587 Å, c = 4.162 Å, α = 90.00°, β = 90.00° and γ = 90.00°. Symmetry generates all atoms from Th at (0.000, 0.097, 0.250), Al at (0.000, 0.440, 0.250) and Hg at (0.000, 0.271, 0.750).

The formation enthalpy at 0 K comes out at -0.221 eV per atom. The mass density is 10.06 g cm⁻³. Its calculated volume is 303.5 Å³ per cell. The calculation puts the raw total energy at -48.51 eV/cell. As for the density of states at the Fermi level: 0.756 states/eV/atom. As for the energy above the most stable polymorph in this dataset: 109 meV per atom.

# 15
Crystalline BeSiPb at its relaxed geometry, computed with PBE.

It has space group Fmm2 (No. 42), with a = 4.133 Å, b = 5.259 Å, c = 11.024 Å, α = 90.00°, β = 90.00° and γ = 90.00°. Symmetry generates all atoms from Be at (0.000, 0.000, 0.000), Si at (0.000, 0.000, 0.560) and Pb at (0.000, 0.000, 0.284).

The calculation puts the uncorrected formation energy at 0.5623 eV/atom. The mass density is 6.77 g cm⁻³. Its calculated volume is 239.6 Å³ per cell. The calculation puts the raw total energy at -44.68 eV/cell. As for the density of states at the Fermi level: 0.493 states/eV/atom. As for the energy above the most stable polymorph in this dataset: 239 meV per atom.

# 16
Crystalline VBMo3 at its relaxed geometry, computed with PBE.

It has space group Pm-3m (No. 221), with a = 4.183 Å, b = 4.183 Å, c = 4.183 Å, α = 90.00°, β = 90.00° and γ = 90.00°. Symmetry generates all atoms from V at (0.000, 0.000, 0.000), B at (0.500, 0.500, 0.500) and Mo at (0.000, 0.500, 0.500).

The formation enthalpy at 0 K comes out at 0.288 eV per atom. The mass density is 7.93 g cm⁻³. Its calculated volume is 73.2 Å³ per cell. The calculation puts the raw total energy at -46.85 eV/cell. As for the density of states at the Fermi level: 1.213 states/eV/atom. As for the energy above the most stable polymorph in this dataset: 0 meV per atom.

# 17
Crystalline Sr2FeB2 at its relaxed geometry, computed with PBE.

It has space group I4/mmm (No. 139), with a = 5.659 Å, b = 5.659 Å, c = 6.109 Å, α = 90.00°, β = 90.00° and γ = 90.00°. Symmetry generates all atoms from Sr at (0.000, 0.500, 0.250), Fe at (0.000, 0.000, 0.000) and B at (0.000, 0.000, 0.368).

The formation enthalpy at 0 K comes out at 0.512 eV per atom. The mass density is 4.29 g cm⁻³. Its calculated volume is 195.6 Å³ per cell. The calculation puts the raw total energy at -45.24 eV/cell. As for the density of states at the Fermi level: 0.666 states/eV/atom. As for the energy above the most stable polymorph in this dataset: 0 meV per atom.

# 18
Crystalline ErGaTc2C at its relaxed geometry, computed with PBE.

It has space group Cmcm (No. 63), with a = 3.488 Å, b = 11.515 Å, c = 7.815 Å, α = 90.00°, β = 90.00° and γ = 90.00°. Symmetry generates all atoms from Er at (0.000, 0.031, 0.250), Ga at (0.000, 0.251, 0.750), Tc at (0.000, 0.338, 0.053) and C at (0.000, 0.500, 0.000).

The formation enthalpy at 0 K comes out at -0.317 eV per atom. The mass density is 9.42 g cm⁻³. Its calculated volume is 313.9 Å³ per cell. The calculation puts the raw total energy at -156.53 eV/cell. As for the density of states at the Fermi level: 0.450 states/eV/atom.

# 19
Crystalline Tl2CdSbO4 at its relaxed geometry, computed with PBE.

It has space group P1 (No. 1), with a = 5.906 Å, b = 5.917 Å, c = 6.019 Å, α = 115.74°, β = 92.40° and γ = 118.51°. Symmetry generates all atoms from Tl at (0.000, 0.000, 0.000), Tl at (0.240, 0.478, 0.726), Cd at (0.727, 0.492, 0.216), Sb at (0.501, 0.007, 0.488), O at (0.137, 0.912, 0.358), O at (0.426, 0.595, 0.363), O at (0.627, 0.406, 0.810) and O at (0.676, 0.112, 0.246).

The calculation puts the uncorrected formation energy at -0.9338 eV/atom. The mass density is 7.43 g cm⁻³. Its calculated volume is 158.0 Å³ per cell. The calculation puts the raw total energy at -37.07 eV/cell. As for the density of states at the Fermi level: 0.402 states/eV/atom.

# 20
Crystalline Sc3OsF at its relaxed geometry, computed with PBE.

It has space group Pm-3m (No. 221), with a = 5.068 Å, b = 5.068 Å, c = 5.068 Å, α = 90.00°, β = 90.00° and γ = 90.00°. Symmetry generates all atoms from Sc at (0.000, 0.000, 0.500), Os at (0.000, 0.000, 0.000) and F at (0.500, 0.500, 0.500).

The calculation puts the uncorrected formation energy at -0.2815 eV/atom. The mass density is 4.39 g cm⁻³. Its calculated volume is 130.2 Å³ per cell. The calculation puts the raw total energy at -33.50 eV/cell. As for the density of states at the Fermi level: 0.959 states/eV/atom. As for the energy above the most stable polymorph in this dataset: 601 meV per atom.